[1]
! CoTcGeW (PBE-GGA, relaxed); values from VASP
&SYSTEM
  ibrav = 0, nat = 4, ntyp = 4
/
ATOMIC_SPECIES
Co 58.93 Co.upf
Tc 98.00 Tc.upf
Ge 72.64 Ge.upf
W 183.84 W.upf
ATOMIC_POSITIONS angstrom
Co 0.000 0.000 0.000
Tc 3.039 3.039 3.039
Ge 4.558 4.558 4.558
W 1.519 1.519 1.519
CELL_PARAMETERS angstrom
0.000 3.039 3.039
3.039 0.000 3.039
3.039 3.039 0.000
! Relative energy among the computed polymorphs = 0 meV/atom
! Magnetization = 1.9 μB per cell
! Calculated density = 12.23 g cm⁻³
! Space group = F-43m
! Electronic total energy = -8.6886 eV per atom

***

[2]
! CoGeTe (PBE-GGA, relaxed); values from VASP
&SYSTEM
  ibrav = 0, nat = 3, ntyp = 3
/
ATOMIC_SPECIES
Co 58.93 Co.upf
Ge 72.64 Ge.upf
Te 127.60 Te.upf
ATOMIC_POSITIONS angstrom
Co 0.000 0.000 0.000
Ge 4.553 4.553 4.553
Te 1.518 1.518 1.518
CELL_PARAMETERS angstrom
0.000 3.036 3.036
3.036 0.000 3.036
3.036 3.036 0.000
! Magnetization = 0.0 μB per cell
! Calculated density = 7.69 g cm⁻³
! Space group = F-43m
! Electronic total energy = -4.9405 eV per atom

***

[3]
! Co2GeTe3 (PBE-GGA, relaxed); values from VASP
&SYSTEM
  ibrav = 0, nat = 12, ntyp = 3
/
ATOMIC_SPECIES
Co 58.93 Co.upf
Ge 72.64 Ge.upf
Te 127.60 Te.upf
ATOMIC_POSITIONS angstrom
Co 0.000 0.000 0.000
Co 0.000 0.000 5.133
Co 1.875 2.064 7.700
Co 1.875 -2.064 2.567
Ge 1.875 3.231 2.567
Ge 1.875 -3.231 7.700
Te 1.875 6.437 2.567
Te 1.875 1.743 5.177
Te 1.875 1.743 10.223
Te 1.875 -1.743 0.044
Te 1.875 -1.743 5.089
Te 1.875 -6.437 7.700
CELL_PARAMETERS angstrom
1.875 -6.713 0.000
1.875 6.713 0.000
0.000 0.000 10.266
! Magnetization = 0.0 μB per cell
! Calculated density = 7.37 g cm⁻³
! Space group = Cmcm
! Electronic total energy = -4.7678 eV per atom

***

[4]
! TlCoGeTe3 (PBE-GGA, relaxed); values from VASP
&SYSTEM
  ibrav = 0, nat = 12, ntyp = 4
/
ATOMIC_SPECIES
Tl 204.38 Tl.upf
Co 58.93 Co.upf
Ge 72.64 Ge.upf
Te 127.60 Te.upf
ATOMIC_POSITIONS angstrom
Tl 1.040 0.982 2.710
Tl 4.325 2.947 7.337
Co 0.418 2.947 8.508
Co 4.946 0.982 1.539
Ge -0.753 0.982 5.490
Ge 6.117 2.947 4.557
Te -1.286 0.982 8.138
Te 1.142 2.947 5.966
Te 3.343 2.947 0.990
Te 2.021 0.982 9.057
Te 4.222 0.982 4.080
Te 6.650 2.947 1.909
CELL_PARAMETERS angstrom
8.586 0.000 0.000
0.000 3.929 0.000
-3.222 0.000 10.047
! Magnetization = 0.0 μB per cell
! Calculated density = 7.04 g cm⁻³
! Space group = P2_1/m
! Electronic total energy = -4.0316 eV per atom

***

[5]
! ZnCoGeTe3 (PBE-GGA, relaxed); values from VASP
&SYSTEM
  ibrav = 0, nat = 12, ntyp = 4
/
ATOMIC_SPECIES
Zn 65.41 Zn.upf
Co 58.93 Co.upf
Ge 72.64 Ge.upf
Te 127.60 Te.upf
ATOMIC_POSITIONS angstrom
Zn 0.000 0.000 0.000
Zn 0.000 0.000 4.718
Co 1.883 0.432 7.077
Co 1.883 -0.432 2.359
Ge 1.883 4.091 2.359
Ge 1.883 -4.091 7.077
Te 1.883 6.667 7.077
Te 1.883 2.326 5.414
Te 1.883 2.326 8.740
Te 1.883 -2.326 0.696
Te 1.883 -2.326 4.022
Te 1.883 -6.667 2.359
CELL_PARAMETERS angstrom
1.883 -7.928 0.000
1.883 7.928 0.000
0.000 0.000 9.436
! Relative energy among the computed polymorphs = 9 meV/atom
! Magnetization = 0.8 μB per cell
! Calculated density = 6.83 g cm⁻³
! Space group = Cmcm
! Electronic total energy = -3.6299 eV per atom

***

[6]
! ZnCoGeTe3 (PBE-GGA, relaxed); values from VASP
&SYSTEM
  ibrav = 0, nat = 12, ntyp = 4
/
ATOMIC_SPECIES
Zn 65.41 Zn.upf
Co 58.93 Co.upf
Ge 72.64 Ge.upf
Te 127.60 Te.upf
ATOMIC_POSITIONS angstrom
Zn 1.984 6.198 7.772
Zn 1.984 -6.198 2.591
Co 1.984 0.000 0.000
Co 1.984 0.000 5.181
Ge 1.984 3.221 2.591
Ge 1.984 -3.221 7.772
Te 1.984 4.915 5.540
Te 1.984 4.915 10.004
Te 1.984 1.260 7.772
Te 1.984 -1.260 2.591
Te 1.984 -4.915 0.359
Te 1.984 -4.915 4.823
CELL_PARAMETERS angstrom
1.984 -6.701 0.000
1.984 6.701 0.000
0.000 0.000 10.363
! Relative energy among the computed polymorphs = 0 meV/atom
! Magnetization = 1.8 μB per cell
! Calculated density = 6.99 g cm⁻³
! Space group = Cmcm
! Electronic total energy = -3.6389 eV per atom

***

[7]
! ThCoGe2 (PBE-GGA, relaxed); values from VASP
&SYSTEM
  ibrav = 0, nat = 8, ntyp = 3
/
ATOMIC_SPECIES
Th 232.04 Th.upf
Co 58.93 Co.upf
Ge 72.64 Ge.upf
ATOMIC_POSITIONS angstrom
Th 2.098 6.552 3.176
Th 2.098 -6.552 1.059
Co 2.098 3.025 3.176
Co 2.098 -3.025 1.059
Ge 2.098 4.196 1.059
Ge 2.098 0.721 3.176
Ge 2.098 -0.721 1.059
Ge 2.098 -4.196 3.176
CELL_PARAMETERS angstrom
2.098 -8.391 0.000
2.098 8.391 0.000
0.000 0.000 4.234
! Magnetization = 0.0 μB per cell
! Calculated density = 9.72 g cm⁻³
! Space group = Cmcm
! Electronic total energy = -6.6253 eV per atom

***

[8]
! TlCoGe2 (PBE-GGA, relaxed); values from VASP
&SYSTEM
  ibrav = 0, nat = 4, ntyp = 3
/
ATOMIC_SPECIES
Tl 204.38 Tl.upf
Co 58.93 Co.upf
Ge 72.64 Ge.upf
ATOMIC_POSITIONS angstrom
Tl 0.000 0.000 0.000
Co 1.660 1.660 1.660
Ge 3.320 3.320 3.320
Ge 4.980 4.980 4.980
CELL_PARAMETERS angstrom
0.000 3.320 3.320
3.320 0.000 3.320
3.320 3.320 0.000
! Magnetization = 0.4 μB per cell
! Calculated density = 9.27 g cm⁻³
! Space group = F-43m
! Electronic total energy = -4.0797 eV per atom